No. 1
This record from Alexandria describes an optimized crystal structure of Sr2AlPbAu6. The functional is GGA-PBE.

Lattice parameters (Å, degrees): 9.303 5.716 7.055 66.09 51.88 89.97
Sites, in units of the cell vectors:
Sr: 0.210 0.740 0.519
Sr: 0.790 0.260 0.481
Al: 0.500 0.500 0.000
Pb: 0.000 0.000 0.000
Au: 0.262 0.739 0.019
Au: 0.737 0.759 0.982
Au: 0.410 0.257 0.484
Au: 0.738 0.261 0.981
Au: 0.263 0.241 0.018
Au: 0.590 0.743 0.516

Computed properties:
VASP energy = -3.499 eV per atom
SG = No. 2
Total magnetization = 0.0 μB/f.u.



No. 2
This record from Alexandria describes an optimized crystal structure of TmLuMgRh. The functional is GGA-PBE.

Lattice parameters (Å, degrees): 4.963 4.963 4.963 60.00 60.00 60.00
Sites, in units of the cell vectors:
Rh: 0.250 0.250 0.250
Mg: 0.750 0.750 0.750
Lu: 0.500 0.500 0.500
Tm: 0.000 0.000 0.000

Computed properties:
VASP energy = -4.939 eV per atom
SG = No. 216
Total magnetization = 0.0 μB/f.u.



Copy entry 1 word for word.
This record from Alexandria describes an optimized crystal structure of Sr2AlPbAu6. The functional is GGA-PBE.

Lattice parameters (Å, degrees): 9.303 5.716 7.055 66.09 51.88 89.97
Sites, in units of the cell vectors:
Sr: 0.210 0.740 0.519
Sr: 0.790 0.260 0.481
Al: 0.500 0.500 0.000
Pb: 0.000 0.000 0.000
Au: 0.262 0.739 0.019
Au: 0.737 0.759 0.982
Au: 0.410 0.257 0.484
Au: 0.738 0.261 0.981
Au: 0.263 0.241 0.018
Au: 0.590 0.743 0.516

Computed properties:
VASP energy = -3.499 eV per atom
SG = No. 2
Total magnetization = 0.0 μB/f.u.



Please write out number 2 again, unchanged.
This record from Alexandria describes an optimized crystal structure of TmLuMgRh. The functional is GGA-PBE.

Lattice parameters (Å, degrees): 4.963 4.963 4.963 60.00 60.00 60.00
Sites, in units of the cell vectors:
Rh: 0.250 0.250 0.250
Mg: 0.750 0.750 0.750
Lu: 0.500 0.500 0.500
Tm: 0.000 0.000 0.000

Computed properties:
VASP energy = -4.939 eV per atom
SG = No. 216
Total magnetization = 0.0 μB/f.u.